(1)
A geometry-optimized Be2NiPt3 structure. Source: the Alexandria database, functional GGA-PBE.

Summary:
magnetic moment = 0.034 μB/atom

a = 2.785 Å, b = 2.785 Å, c = 9.433 Å
α = 90.00°, β = 90.00°, γ = 90.00°
Space group P4/mmm (No. 123)
One atom of each set of equivalent atoms:
Be1 0.000 0.000 0.161 x2
Ni1 0.000 0.000 0.500 x1
Pt1 0.500 0.500 0.000 x1
Pt2 0.500 0.500 0.305 x2

(2)
A geometry-optimized BeNiPt2 structure. Source: the Alexandria database, functional GGA-PBE.

Summary:
magnetic moment = 0.025 μB/atom

a = 3.767 Å, b = 3.767 Å, c = 16.304 Å
α = 90.00°, β = 90.00°, γ = 90.00°
Space group I-42d (No. 122)
One atom of each set of equivalent atoms:
Be1 0.000 0.000 0.000 x4
Ni1 0.000 0.000 0.500 x4
Pt1 0.245 0.250 0.125 x8

(3)
A geometry-optimized Be4Ni3Pt structure. Source: the Alexandria database, functional GGA-PBE.

Summary:
magnetic moment = 0.000 μB/atom

a = 2.711 Å, b = 2.711 Å, c = 10.477 Å
α = 90.00°, β = 90.00°, γ = 90.00°
Space group P4/mmm (No. 123)
One atom of each set of equivalent atoms:
Be1 0.000 0.000 0.119 x2
Be2 0.000 0.000 0.357 x2
Ni1 0.500 0.500 0.000 x1
Ni2 0.500 0.500 0.240 x2
Pt1 0.500 0.500 0.500 x1

What are the electronic total energy values for these records? In order: -5.782; -5.314; -5.323 eV per atom.
What are the DFT formation energy values for these records? In order: -0.56; 0.08; -0.54 eV per atom.